Below is crystalline Cs3Co2O4 at its relaxed geometry, with properties calculated at the PBE+U level.

Properties
total magnetic moment = 14.03 Bohr magnetons per cell
D(E_F) = 1.21 states/eV/f.u.
energy = -4.747 eV/atom
space group = C2/c

Cell lengths 9.708, 9.708, 6.006 Å; angles 104.74, 104.74, 110.77 degrees
Fractional positions:
1 Cs 0.098 0.902 0.750
2 Cs 0.192 0.552 0.379
3 Cs 0.448 0.808 0.121
4 Cs 0.552 0.192 0.879
5 Cs 0.808 0.448 0.621
6 Cs 0.902 0.098 0.250
7 Co 0.198 0.313 0.834
8 Co 0.313 0.198 0.334
9 Co 0.687 0.802 0.666
10 Co 0.802 0.687 0.166
11 O 0.138 0.459 0.798
12 O 0.198 0.250 0.102
13 O 0.250 0.198 0.602
14 O 0.459 0.138 0.298
15 O 0.541 0.862 0.702
16 O 0.750 0.802 0.398
17 O 0.802 0.750 0.898
18 O 0.862 0.541 0.202



Below is crystalline NbNiO2F at its relaxed geometry, with properties calculated at the PBE+U level.

Properties
total magnetic moment = 3.99 Bohr magnetons per cell
D(E_F) = 3.89 states/eV/f.u.
energy = -5.739 eV/atom
space group = P4/mmm

Cell lengths 3.923, 3.923, 3.657 Å; angles 90.00, 90.00, 90.00 degrees
Fractional positions:
1 Nb 0.000 0.000 0.000
2 Ni 0.500 0.500 0.500
3 O 0.000 0.500 0.500
4 O 0.500 0.000 0.500
5 F 0.500 0.500 0.000